A relaxed structure of Tl4InBi, computed with GGA-PBE.

Summary:
E in eV/f.u.: -15.967
Energy above the lowest structure with this stoichiometry in meV/atom: 25
E_form in eV per formula unit: 0.12
Theoretical density in Mg/m³: 10.05

Structure (CIF):
```
data_Tl4InBi
_chemical_formula_sum 'Tl16 In4 Bi4'
_symmetry_space_group_name_H-M 'C 1 2/c 1'
_symmetry_Int_Tables_number 15
_symmetry_space_group_name_Hall '-C 2yc'
_cell_length_a 6.803
_cell_length_b 18.925
_cell_length_c 6.767
_cell_angle_alpha 90.00
_cell_angle_beta 119.99
_cell_angle_gamma 90.00
loop_
_atom_site_label
_atom_site_fract_x
_atom_site_fract_y
_atom_site_fract_z
_atom_site_occupancy
Tl1 0.247 0.034 0.246 1
Tl2 0.248 0.216 0.246 1
In1 0.000 0.125 0.750 1
Bi1 0.000 0.375 0.250 1
```

A relaxed structure of Rb6Hg2Au, computed with GGA-PBE.

Summary:
E in eV/f.u.: -11.175
Energy above the lowest structure with this stoichiometry in meV/atom: 0
E_form in eV per formula unit: -1.49
Theoretical density in Mg/m³: 4.02

Structure (CIF):
```
data_Rb6Hg2Au
_chemical_formula_sum 'Rb6 Hg2 Au1'
_symmetry_space_group_name_H-M 'P -6 2 m'
_symmetry_Int_Tables_number 189
_symmetry_space_group_name_Hall 'P -6 -2'
_cell_length_a 9.9532
_cell_length_b 9.9532
_cell_length_c 5.3503
_cell_angle_alpha 90.00
_cell_angle_beta 90.00
_cell_angle_gamma 120.00
loop_
_atom_site_label
_atom_site_fract_x
_atom_site_fract_y
_atom_site_fract_z
_atom_site_occupancy
Rb1 0.0000 0.4022 0.0000 1
Rb2 0.0000 0.7530 0.5000 1
Hg1 0.3333 0.6667 0.5000 1
Au1 0.0000 0.0000 0.0000 1
```

A relaxed structure of Dy2NiAs2, computed with GGA-PBE.

Summary:
E in eV/f.u.: -30.512
E_form in eV per formula unit: -6.23
Theoretical density in Mg/m³: 8.52

Structure (CIF):
```
data_Dy2NiAs2
_chemical_formula_sum 'Dy4 Ni2 As4'
_symmetry_space_group_name_H-M 'P 63/m m c'
_symmetry_Int_Tables_number 194
_symmetry_space_group_name_Hall '-P 6c 2c'
_cell_length_a 4.0997
_cell_length_b 4.0997
_cell_length_c 14.2958
_cell_angle_alpha 90.00
_cell_angle_beta 90.00
_cell_angle_gamma 120.00
loop_
_atom_site_label
_atom_site_fract_x
_atom_site_fract_y
_atom_site_fract_z
_atom_site_occupancy
Dy1 0.3333 0.6667 0.1169 1
Ni1 0.0000 0.0000 0.2500 1
As1 0.0000 0.0000 0.0000 1
As2 0.3333 0.6667 0.7500 1
```

A relaxed structure of PrBeTeO6, computed with GGA-PBE.

Summary:
E in eV/f.u.: -57.780
Theoretical density in Mg/m³: 5.46

Structure (CIF):
```
data_PrBeTeO6
_chemical_formula_sum 'Pr1 Be1 Te1 O6'
_symmetry_space_group_name_H-M 'P 3 1 2'
_symmetry_Int_Tables_number 149
_symmetry_space_group_name_Hall 'P 3 2'
_cell_length_a 5.0089
_cell_length_b 5.0089
_cell_length_c 5.2324
_cell_angle_alpha 90.00
_cell_angle_beta 90.00
_cell_angle_gamma 120.00
loop_
_atom_site_label
_atom_site_fract_x
_atom_site_fract_y
_atom_site_fract_z
_atom_site_occupancy
Pr1 0.0000 0.0000 0.0000 1
Be1 0.6667 0.3333 0.5000 1
Te1 0.3333 0.6667 0.5000 1
O1 0.3794 0.0092 0.7065 1
```

A relaxed structure of SrNiTe2I, computed with GGA-PBE.

Summary:
E in eV/f.u.: -18.030
Theoretical density in Mg/m³: 5.91

Structure (CIF):
```
data_SrNiTe2I
_chemical_formula_sum 'Sr1 Ni1 Te2 I1'
_symmetry_space_group_name_H-M 'P 4/m m m'
_symmetry_Int_Tables_number 123
_symmetry_space_group_name_Hall '-P 4 2'
_cell_length_a 5.183
_cell_length_b 5.183
_cell_length_c 5.523
_cell_angle_alpha 90.00
_cell_angle_beta 90.00
_cell_angle_gamma 90.00
loop_
_atom_site_label
_atom_site_fract_x
_atom_site_fract_y
_atom_site_fract_z
_atom_site_occupancy
Sr1 0.000 0.000 0.000 1
Ni1 0.500 0.500 0.500 1
Te1 0.000 0.500 0.500 1
I1 0.500 0.500 0.000 1
```

A relaxed structure of ScAlO3, computed with GGA-PBE.

Summary:
E in eV/f.u.: -41.022
Theoretical density in Mg/m³: 3.87

Structure (CIF):
```
data_ScAlO3
_chemical_formula_sum 'Sc6 Al6 O18'
_symmetry_space_group_name_H-M 'R -3'
_symmetry_Int_Tables_number 148
_symmetry_space_group_name_Hall '-R 3'
_cell_length_a 5.0765
_cell_length_b 5.0765
_cell_length_c 13.8518
_cell_angle_alpha 90.00
_cell_angle_beta 90.00
_cell_angle_gamma 120.00
loop_
_atom_site_label
_atom_site_fract_x
_atom_site_fract_y
_atom_site_fract_z
_atom_site_occupancy
Sc1 0.0000 0.0000 0.1379 1
Al1 0.0000 0.0000 0.3470 1
O1 0.0190 0.3772 0.9221 1
```

A relaxed structure of CaIn2GaAu5, computed with GGA-PBE.

Summary:
E in eV/f.u.: -29.225
E_form in eV per formula unit: -2.33
Theoretical density in Mg/m³: 10.30

Structure (CIF):
```
data_CaIn2GaAu5
_chemical_formula_sum 'Ca2 In4 Ga2 Au10'
_symmetry_space_group_name_H-M 'I m m m'
_symmetry_Int_Tables_number 71
_symmetry_space_group_name_Hall '-I 2 2'
_cell_length_a 4.900
_cell_length_b 5.862
_cell_length_c 14.863
_cell_angle_alpha 90.00
_cell_angle_beta 90.00
_cell_angle_gamma 90.00
loop_
_atom_site_label
_atom_site_fract_x
_atom_site_fract_y
_atom_site_fract_z
_atom_site_occupancy
Ca1 0.000 0.000 0.000 1
In1 0.000 0.500 0.193 1
Ga1 0.000 0.000 0.500 1
Au1 0.000 0.262 0.358 1
Au2 0.000 0.500 0.000 1
```

A relaxed structure of Ca2WSe, computed with GGA-PBE.

Summary:
E in eV/f.u.: -18.466
Theoretical density in Mg/m³: 6.10

Structure (CIF):
```
data_Ca2WSe
_chemical_formula_sum 'Ca4 W2 Se2'
_symmetry_space_group_name_H-M 'I m m m'
_symmetry_Int_Tables_number 71
_symmetry_space_group_name_Hall '-I 2 2'
_cell_length_a 3.774
_cell_length_b 5.189
_cell_length_c 9.539
_cell_angle_alpha 90.00
_cell_angle_beta 90.00
_cell_angle_gamma 90.00
loop_
_atom_site_label
_atom_site_fract_x
_atom_site_fract_y
_atom_site_fract_z
_atom_site_occupancy
Ca1 0.000 0.000 0.230 1
W1 0.000 0.500 0.000 1
Se1 0.000 0.500 0.500 1
```